# 1
! BaErAs GGA-PBE optimized geometry; values from VASP
! VASP energy = -4.224 eV per atom
! total moment = 0.0019 μB per atom
&SYSTEM
  ibrav = 0, nat = 3, ntyp = 3
/
ATOMIC_SPECIES
Ba 137.33 Ba.upf
Er 167.26 Er.upf
As 74.92 As.upf
CELL_PARAMETERS angstrom
0.000 3.649 3.649
3.649 0.000 3.649
3.649 3.649 0.000
ATOMIC_POSITIONS crystal
Ba 0.000 0.000 0.000
Er 0.500 0.500 0.500
As 0.250 0.250 0.250

***

# 2
! HfAlFe GGA-PBE optimized geometry; values from VASP
! VASP energy = -6.932 eV per atom
! total moment = 0.6435 μB per atom
&SYSTEM
  ibrav = 0, nat = 3, ntyp = 3
/
ATOMIC_SPECIES
Hf 178.49 Hf.upf
Al 26.98 Al.upf
Fe 55.84 Fe.upf
CELL_PARAMETERS angstrom
0.000 2.985 2.985
2.985 0.000 2.985
2.985 2.985 0.000
ATOMIC_POSITIONS crystal
Hf 0.000 0.000 0.000
Al 0.750 0.750 0.750
Fe 0.500 0.500 0.500

***

# 3
! HoHgBi GGA-PBE optimized geometry; values from VASP
! VASP energy = -3.053 eV per atom
! total moment = 0.0211 μB per atom
&SYSTEM
  ibrav = 0, nat = 3, ntyp = 3
/
ATOMIC_SPECIES
Ho 164.93 Ho.upf
Hg 200.59 Hg.upf
Bi 208.98 Bi.upf
CELL_PARAMETERS angstrom
0.000 3.684 3.684
3.684 0.000 3.684
3.684 3.684 0.000
ATOMIC_POSITIONS crystal
Ho 0.000 0.000 0.000
Hg 0.500 0.500 0.500
Bi 0.750 0.750 0.750

***

# 4
! Dy2AlZn2In GGA-PBE optimized geometry; values from VASP
! VASP energy = -3.497 eV per atom
! total moment = 0.0006 μB per atom
&SYSTEM
  ibrav = 0, nat = 6, ntyp = 4
/
ATOMIC_SPECIES
Dy 162.50 Dy.upf
Al 26.98 Al.upf
Zn 65.41 Zn.upf
In 114.82 In.upf
CELL_PARAMETERS angstrom
4.563 0.000 0.000
-2.282 3.952 0.000
0.000 0.000 7.232
ATOMIC_POSITIONS crystal
Dy 0.000 0.000 0.000
Dy 0.000 0.000 0.490
Al 0.333 0.667 0.219
Zn 0.333 0.667 0.807
Zn 0.667 0.333 0.285
In 0.667 0.333 0.719

***

# 5
! TbBr3 GGA-PBE optimized geometry; values from VASP
! VASP energy = -4.190 eV per atom
! total moment = 0.0000 μB per atom
&SYSTEM
  ibrav = 0, nat = 16, ntyp = 2
/
ATOMIC_SPECIES
Tb 158.93 Tb.upf
Br 79.90 Br.upf
CELL_PARAMETERS angstrom
7.193 0.000 0.000
0.000 10.079 0.000
0.000 0.000 6.451
ATOMIC_POSITIONS crystal
Tb 0.121 0.250 0.063
Tb 0.379 0.750 0.563
Tb 0.621 0.250 0.437
Tb 0.879 0.750 0.937
Br 0.042 0.750 0.336
Br 0.166 0.573 0.821
Br 0.166 0.927 0.821
Br 0.334 0.073 0.321
Br 0.334 0.427 0.321
Br 0.458 0.250 0.836
Br 0.542 0.750 0.164
Br 0.666 0.573 0.679
Br 0.666 0.927 0.679
Br 0.834 0.073 0.179
Br 0.834 0.427 0.179
Br 0.958 0.250 0.664

***

# 6
! NaFeTe GGA-PBE optimized geometry; values from VASP
! VASP energy = -3.663 eV per atom
! total moment = 1.1004 μB per atom
&SYSTEM
  ibrav = 0, nat = 3, ntyp = 3
/
ATOMIC_SPECIES
Na 22.99 Na.upf
Fe 55.84 Fe.upf
Te 127.60 Te.upf
CELL_PARAMETERS angstrom
0.000 3.351 3.351
3.351 0.000 3.351
3.351 3.351 0.000
ATOMIC_POSITIONS crystal
Na 0.000 0.000 0.000
Fe 0.750 0.750 0.750
Te 0.250 0.250 0.250

***

Number 1 is which compound?
BaErAs